No. 1
GaAg9Se6 after structural relaxation. Source: Alexandria via LeMat-Bulk, functional PBE.

Values from the calculation:
**Total magnetic moment**: 0.0 μB/cell
**Final energy**: -3.266 eV per atom
**Formation energy (no corrections)**: -16 kJ/mol of atoms

Unit cell a=11.2865 b=11.2865 c=11.2865 alpha=90.00 beta=90.00 gamma=90.00
Atoms (fractional coordinates):
Ga: 0.5093 0.5093 0.5093
Ga: 0.9907 0.4907 0.0093
Ga: 0.0093 0.9907 0.4907
Ga: 0.4907 0.0093 0.9907
Ag: 0.8235 0.0687 0.1352
Ag: 0.1352 0.8235 0.0687
Ag: 0.0687 0.1352 0.8235
Ag: 0.4313 0.8648 0.3235
Ag: 0.6352 0.6765 0.9313
Ag: 0.9313 0.6352 0.6765
Ag: 0.3648 0.1765 0.5687
Ag: 0.8648 0.3235 0.4313
Ag: 0.5687 0.3648 0.1765
Ag: 0.3235 0.4313 0.8648
Ag: 0.1765 0.5687 0.3648
Ag: 0.6765 0.9313 0.6352
Ag: 0.2249 0.2305 0.0305
Ag: 0.0305 0.2249 0.2305
Ag: 0.2305 0.0305 0.2249
Ag: 0.2695 0.9695 0.7249
Ag: 0.5305 0.2751 0.7695
Ag: 0.7695 0.5305 0.2751
Ag: 0.4695 0.7751 0.7305
Ag: 0.9695 0.7249 0.2695
Ag: 0.7305 0.4695 0.7751
Ag: 0.7249 0.2695 0.9695
Ag: 0.7751 0.7305 0.4695
Ag: 0.2751 0.7695 0.5305
Ag: 0.8289 0.0398 0.8675
Ag: 0.8675 0.8289 0.0398
Ag: 0.0398 0.8675 0.8289
Ag: 0.4602 0.1325 0.3289
Ag: 0.3675 0.6711 0.9602
Ag: 0.9602 0.3675 0.6711
Ag: 0.6325 0.1711 0.5398
Ag: 0.1325 0.3289 0.4602
Ag: 0.5398 0.6325 0.1711
Ag: 0.3289 0.4602 0.1325
Ag: 0.1711 0.5398 0.6325
Ag: 0.6711 0.9602 0.3675
Se: 0.0234 0.0234 0.0234
Se: 0.4766 0.9766 0.5234
Se: 0.5234 0.4766 0.9766
Se: 0.9766 0.5234 0.4766
Se: 0.6320 0.6320 0.6320
Se: 0.8680 0.3680 0.1320
Se: 0.1320 0.8680 0.3680
Se: 0.3680 0.1320 0.8680
Se: 0.2627 0.2627 0.2627
Se: 0.2373 0.7373 0.7627
Se: 0.7627 0.2373 0.7373
Se: 0.7373 0.7627 0.2373
Se: 0.4001 0.6272 0.3660
Se: 0.3660 0.4001 0.6272
Se: 0.6272 0.3660 0.4001
Se: 0.8728 0.6340 0.9001
Se: 0.8660 0.0999 0.3728
Se: 0.3728 0.8660 0.0999
Se: 0.1340 0.5999 0.1272
Se: 0.6340 0.9001 0.8728
Se: 0.1272 0.1340 0.5999
Se: 0.9001 0.8728 0.6340
Se: 0.5999 0.1272 0.1340
Se: 0.0999 0.3728 0.8660

No. 2
Ga3AgSe after structural relaxation. Source: Alexandria via LeMat-Bulk, functional PBE.

Values from the calculation:
**Total magnetic moment**: 0.0 μB/cell
**E above lowest polymorph**: 0 meV per atom
**Final energy**: -2.927 eV per atom
**Formation energy (no corrections)**: 15 kJ/mol of atoms

Unit cell a=4.9550 b=4.9550 c=4.9550 alpha=90.00 beta=90.00 gamma=90.00
Atoms (fractional coordinates):
Ga: 0.0000 0.5000 0.0000
Ga: 0.0000 0.0000 0.5000
Ga: 0.5000 0.0000 0.0000
Se: 0.5000 0.5000 0.5000
Ag: 0.0000 0.0000 0.0000

No. 3
GaAg2Se after structural relaxation. Source: Alexandria via LeMat-Bulk, functional PBE.

Values from the calculation:
**Total magnetic moment**: 0.0 μB/cell
**E above lowest polymorph**: 0 meV per atom
**Final energy**: -3.041 eV per atom
**Formation energy (no corrections)**: 1 kJ/mol of atoms

Unit cell a=4.3781 b=4.3781 c=9.3567 alpha=76.47 beta=76.47 gamma=90.00
Atoms (fractional coordinates):
Ga: 0.5000 0.5000 0.0000
Ga: 0.2500 0.7500 0.5000
Se: 0.0000 0.0000 0.0000
Se: 0.7500 0.2500 0.5000
Ag: 0.6029 0.1250 0.2500
Ag: 0.1471 0.6250 0.2500
Ag: 0.3750 0.3971 0.7500
Ag: 0.8750 0.8529 0.7500

No. 4
Ga2AgSe4 after structural relaxation. Source: Alexandria via LeMat-Bulk, functional PBE.

Values from the calculation:
**Total magnetic moment**: 0.0 μB/cell
**Final energy**: -3.681 eV per atom
**Formation energy (no corrections)**: -40 kJ/mol of atoms

Unit cell a=5.3667 b=5.3667 c=6.3898 alpha=90.00 beta=90.00 gamma=90.00
Atoms (fractional coordinates):
Ga: 0.5000 0.0000 0.5000
Ga: 0.0000 0.5000 0.5000
Ag: 0.0000 0.0000 0.0000
Se: 0.7289 0.2711 0.7402
Se: 0.2711 0.2711 0.2598
Se: 0.2711 0.7289 0.7402
Se: 0.7289 0.7289 0.2598